# 1
The following is a PBE-GGA calculation of a geometry-optimized PmNiB2Ru structure, from Alexandria via LeMat-Bulk.

Lattice parameters (Å, degrees): 5.647 5.647 5.647 141.63 141.63 55.38
Element x y z (fractional)
Pm 0.000 0.000 0.000
Ni 0.750 0.250 0.500
B 0.347 0.347 0.000
B 0.653 0.653 0.000
Ru 0.250 0.750 0.500

Values from the calculation:
raw total energy	-7.1189	eV per atom
ΔE_f	-486	meV per atom

# 2
The following is a PBE-GGA calculation of a geometry-optimized InCo3As structure, from Alexandria via LeMat-Bulk.

Lattice parameters (Å, degrees): 4.669 4.669 4.669 90.00 90.00 90.00
Element x y z (fractional)
In 0.000 0.000 0.000
Co 0.000 0.000 0.500
Co 0.000 0.500 0.000
Co 0.500 0.000 0.000
As 0.500 0.500 0.500

Values from the calculation:
raw total energy	-4.1686	eV per atom
ΔE_f	1573	meV per atom

# 3
The following is a PBE-GGA calculation of a geometry-optimized KSr2Fe structure, from Alexandria via LeMat-Bulk.

Lattice parameters (Å, degrees): 3.919 3.919 10.931 90.00 90.00 90.18
Element x y z (fractional)
K 0.000 0.000 0.000
Sr 0.500 0.500 0.334
Sr 0.500 0.500 0.666
Fe 0.000 0.000 0.500

Values from the calculation:
raw total energy	-2.7837	eV per atom
ΔE_f	447	meV per atom

# 4
The following is a PBE-GGA calculation of a geometry-optimized Tm7CoSe5 structure, from Alexandria via LeMat-Bulk.

Lattice parameters (Å, degrees): 6.897 6.897 24.112 90.00 90.00 147.44
Element x y z (fractional)
Tm 0.052 0.948 0.500
Tm 0.133 0.867 0.216
Tm 0.145 0.855 0.791
Tm 0.287 0.713 0.434
Tm 0.302 0.698 0.567
Tm 0.395 0.605 0.120
Tm 0.419 0.581 0.866
Tm 0.581 0.419 0.366
Tm 0.605 0.395 0.620
Tm 0.698 0.302 0.067
Tm 0.713 0.287 0.934
Tm 0.855 0.145 0.291
Tm 0.867 0.133 0.716
Tm 0.948 0.052 0.000
Co 0.308 0.692 0.011
Co 0.692 0.308 0.511
Se 0.051 0.949 0.109
Se 0.064 0.936 0.897
Se 0.215 0.785 0.324
Se 0.225 0.775 0.680
Se 0.493 0.507 0.252
Se 0.507 0.493 0.752
Se 0.775 0.225 0.180
Se 0.785 0.215 0.824
Se 0.936 0.064 0.397
Se 0.949 0.051 0.609

Values from the calculation:
raw total energy	-5.6323	eV per atom
ΔE_f (raw)	-1.34	eV per atom

# 5
The following is a PBE-GGA calculation of a geometry-optimized MnCuCl2 structure, from Alexandria via LeMat-Bulk.

Lattice parameters (Å, degrees): 6.761 6.761 6.761 148.93 146.22 46.56
Element x y z (fractional)
Mn 0.000 0.000 0.000
Cu 0.500 0.500 0.000
Cl 0.134 0.634 0.500
Cl 0.866 0.366 0.500

Values from the calculation:
raw total energy	-4.5288	eV per atom
ΔE_f (raw)	-0.29	eV per atom

# 6
The following is a PBE-GGA calculation of a geometry-optimized Ce2GaAs2N2 structure, from Alexandria via LeMat-Bulk.

Lattice parameters (Å, degrees): 5.838 5.838 6.749 115.50 115.50 39.88
Element x y z (fractional)
Ce 0.205 0.205 0.252
Ce 0.795 0.795 0.748
Ga 0.000 0.000 0.500
As 0.460 0.460 0.157
As 0.540 0.540 0.843
N 0.191 0.191 0.587
N 0.809 0.809 0.413

Values from the calculation:
raw total energy	-6.7810	eV per atom
ΔE_f (raw)	-0.95	eV per atom